First-principles (PBE) data for an optimized crystal structure of RbNaRu3, as listed in Alexandria via LeMat-Bulk.

abc: 4.961 4.961 4.961
angles: 90.00 90.00 90.00
Space group Pm-3m (No. 221)
Asymmetric unit:
Rb (0.000, 0.000, 0.000) (multiplicity 1)
Na (0.500, 0.500, 0.500) (multiplicity 1)
Ru (0.000, 0.000, 0.500) (multiplicity 3)

Computed properties:
**Crystal system**: cubic
**E_form**: 13.9 eV/f.u.
**Distance to the lowest polymorph of the same formula**: 0.397 eV per atom

First-principles (PBE) data for an optimized crystal structure of SiAg2Ru, as listed in Alexandria via LeMat-Bulk.

abc: 3.663 3.663 20.102
angles: 90.00 90.00 90.00
Space group I-42d (No. 122)
Asymmetric unit:
Si (0.000, 0.000, 0.000) (multiplicity 4)
Ag (0.249, 0.250, 0.125) (multiplicity 8)
Ru (0.000, 0.000, 0.500) (multiplicity 4)

Computed properties:
**Formation energy from raw total energies**: 1.74 eV/f.u.
**Crystal system**: tetragonal

First-principles (PBE) data for an optimized crystal structure of YHg2Br, as listed in Alexandria via LeMat-Bulk.

abc: 7.569 7.569 7.569
angles: 90.00 90.00 90.00
Space group Fm-3m (No. 225)
Asymmetric unit:
Y (0.000, 0.000, 0.000) (multiplicity 4)
Hg (0.250, 0.250, 0.250) (multiplicity 8)
Br (0.000, 0.000, 0.500) (multiplicity 4)

Computed properties:
**Formation energy from raw total energies**: -0.79 eV/f.u.
**Crystal system**: cubic
**Distance to the lowest polymorph of the same formula**: 0.394 eV per atom

First-principles (PBE) data for an optimized crystal structure of Ho3Er2S6, as listed in Alexandria via LeMat-Bulk.

abc: 6.721 11.595 6.680
angles: 90.00 109.52 90.00
Space group C2/m (No. 12)
Asymmetric unit:
Ho (0.000, 0.000, 0.000) (multiplicity 2)
Ho (0.000, 0.337, 0.000) (multiplicity 4)
Er (0.000, 0.166, 0.500) (multiplicity 4)
S (0.249, 0.000, 0.744) (multiplicity 4)
S (0.250, 0.167, 0.250) (multiplicity 8)

Computed properties:
**Formation energy from raw total energies**: -22.69 eV/f.u.
**Crystal system**: monoclinic

First-principles (PBE) data for an optimized crystal structure of Hg2PCl, as listed in Alexandria via LeMat-Bulk.

abc: 3.496 6.346 9.142
angles: 90.00 90.00 90.00
Space group Imm2 (No. 44)
Asymmetric unit:
Hg (0.000, 0.000, 0.000) (multiplicity 2)
Hg (0.000, 0.500, 0.236) (multiplicity 2)
P (0.000, 0.000, 0.520) (multiplicity 2)
Cl (0.000, 0.500, 0.827) (multiplicity 2)

Computed properties:
**Formation energy from raw total energies**: 1.12 eV/f.u.
**Crystal system**: orthorhombic
**Distance to the lowest polymorph of the same formula**: 0.535 eV per atom

First-principles (PBE) data for an optimized crystal structure of Ac8Pr3Nd3, as listed in Alexandria via LeMat-Bulk.

abc: 13.702 13.942 6.909
angles: 90.00 116.00 90.00
Space group C2/m (No. 12)
Asymmetric unit:
Ac (0.117, 0.242, 0.460) (multiplicity 8)
Ac (0.176, 0.133, 0.023) (multiplicity 8)
Pr (0.000, 0.000, 0.500) (multiplicity 2)
Pr (0.231, 0.500, 0.397) (multiplicity 4)
Nd (0.000, 0.378, 0.000) (multiplicity 4)
Nd (0.000, 0.500, 0.500) (multiplicity 2)

Computed properties:
**Crystal system**: monoclinic
**E_form**: 2.6 eV/f.u.

First-principles (PBE) data for an optimized crystal structure of KCd2Rh, as listed in Alexandria via LeMat-Bulk.

abc: 5.639 5.639 17.819
angles: 90.00 90.00 90.00
Space group I-42d (No. 122)
Asymmetric unit:
K (0.000, 0.000, 0.000) (multiplicity 4)
Cd (0.003, 0.250, 0.625) (multiplicity 8)
Rh (0.000, 0.000, 0.500) (multiplicity 4)

Computed properties:
**Crystal system**: tetragonal
**E_form**: 1.0 eV/f.u.
**Distance to the lowest polymorph of the same formula**: 0.230 eV per atom

First-principles (PBE) data for an optimized crystal structure of CeYLuSn, as listed in Alexandria via LeMat-Bulk.

abc: 7.654 7.654 7.654
angles: 90.00 90.00 90.00
Space group F-43m (No. 216)
Asymmetric unit:
Ce (0.000, 0.000, 0.000) (multiplicity 4)
Y (0.000, 0.000, 0.500) (multiplicity 4)
Lu (0.250, 0.250, 0.750) (multiplicity 4)
Sn (0.250, 0.250, 0.250) (multiplicity 4)

Computed properties:
**Crystal system**: cubic
**E_form**: -0.8 eV/f.u.

First-principles (PBE) data for an optimized crystal structure of Li5Ag6Pd, as listed in Alexandria via LeMat-Bulk.

abc: 4.156 7.354 12.596
angles: 90.00 90.00 90.00
Space group Immm (No. 71)
Asymmetric unit:
Li (0.000, 0.000, 0.000) (multiplicity 2)
Li (0.000, 0.000, 0.349) (multiplicity 4)
Li (0.000, 0.500, 0.326) (multiplicity 4)
Ag (0.000, 0.242, 0.168) (multiplicity 8)
Ag (0.000, 0.269, 0.500) (multiplicity 4)
Pd (0.000, 0.500, 0.000) (multiplicity 2)

Computed properties:
**Crystal system**: orthorhombic
**E_form**: -2.6 eV/f.u.

First-principles (PBE) data for an optimized crystal structure of Y4AsSe, as listed in Alexandria via LeMat-Bulk.

abc: 8.695 8.695 8.695
angles: 90.00 90.00 90.00
Space group F-43m (No. 216)
Asymmetric unit:
Y (0.124, 0.124, 0.124) (multiplicity 16)
As (0.250, 0.250, 0.750) (multiplicity 4)
Se (0.000, 0.000, 0.500) (multiplicity 4)

Computed properties:
**Formation energy from raw total energies**: 0.44 eV/f.u.
**Crystal system**: cubic

First-principles (PBE) data for an optimized crystal structure of TaZnF2, as listed in Alexandria via LeMat-Bulk.

abc: 2.8783 2.8783 25.1071
angles: 90.00 90.00 120.00
Space group R-3m (No. 166, hexagonal axes)
Asymmetric unit:
Ta (0.0000, 0.0000, 0.0000) (multiplicity 3)
Zn (0.0000, 0.0000, 0.5000) (multiplicity 3)
F (0.0000, 0.0000, 0.0767) (multiplicity 6)

Computed properties:
**Formation energy from raw total energies**: -5.58 eV/f.u.
**Crystal system**: trigonal
**Distance to the lowest polymorph of the same formula**: 0.000 eV per atom

First-principles (PBE) data for an optimized crystal structure of Dy4Ge6Os7, as listed in Alexandria via LeMat-Bulk.

abc: 8.376 8.376 8.376
angles: 90.00 90.00 90.00
Space group Im-3m (No. 229)
Asymmetric unit:
Dy (0.250, 0.250, 0.250) (multiplicity 8)
Ge (0.000, 0.000, 0.311) (multiplicity 12)
Os (0.000, 0.000, 0.000) (multiplicity 2)
Os (0.000, 0.250, 0.500) (multiplicity 12)

Computed properties:
**Crystal system**: cubic
**E_form**: -7.0 eV/f.u.

Please write out number 10 again, unchanged.
First-principles (PBE) data for an optimized crystal structure of Y4AsSe, as listed in Alexandria via LeMat-Bulk.

abc: 8.695 8.695 8.695
angles: 90.00 90.00 90.00
Space group F-43m (No. 216)
Asymmetric unit:
Y (0.124, 0.124, 0.124) (multiplicity 16)
As (0.250, 0.250, 0.750) (multiplicity 4)
Se (0.000, 0.000, 0.500) (multiplicity 4)

Computed properties:
**Formation energy from raw total energies**: 0.44 eV/f.u.
**Crystal system**: cubic